Here is a geometry-optimized BeFe2Ir structure from Alexandria. Energies are from PBE.

Structure (extended XYZ):
```
4
Lattice="-1.4446 2.0894 3.8845 1.4446 -2.0894 3.8845 1.4446 2.0894 -3.8845" Properties=species:S:1:pos:R:3 pbc="T T T"
Be 0.0000 0.0000 0.0000
Fe 1.4446 0.0000 1.8362
Fe 0.0000 0.0000 3.7799
Ir 0.0000 2.0894 2.0092
```

Values from the calculation:
E_tot (eV/atom): -7.479
Density (g/cm³): 11.08
Formation energy (meV per atom): -101.0
N(E_F) (states/eV per cell): 2.88